Record 1
VASP calculation (GGA-PBEsol) on a relaxed structure of Al2Tl3P3O12.

For the raw formation energy, the calculation gives -2206 meV per atom.

The structure belongs to space group Pnma (No. 62); the cell edges are 6.107, 17.852 and 10.423 Å and the angles 90.00°, 90.00° and 90.00°. The inequivalent atoms are Al at (0.238, 0.082, 0.083), Tl at (0.215, 0.750, 0.856), Tl at (0.226, 0.642, 0.155), P at (0.227, 0.750, 0.497), P at (0.249, 0.040, 0.373), O at (0.012, 0.750, 0.419), O at (0.041, 0.073, 0.432), O at (0.066, 0.250, 0.912), O at (0.069, 0.597, 0.906), O at (0.197, 0.038, 0.930), O at (0.231, 0.028, 0.227) and O at (0.232, 0.682, 0.591).



Record 2
VASP calculation (GGA-PBEsol) on a relaxed structure of AlPb3O.

For the raw formation energy, the calculation gives -131 meV per atom. For the distance to the lowest polymorph of the same formula, the calculation gives 0.0 meV per atom.

The structure belongs to space group Pm-3m (No. 221); the cell edges are 4.930, 4.930 and 4.930 Å and the angles 90.00°, 90.00° and 90.00°. The inequivalent atoms are Al at (0.000, 0.000, 0.000), Pb at (0.000, 0.500, 0.500) and O at (0.500, 0.500, 0.500).



Record 3
VASP calculation (GGA-PBEsol) on a relaxed structure of AlPb3O.

For the raw formation energy, the calculation gives 784 meV per atom. For the distance to the lowest polymorph of the same formula, the calculation gives 914.8 meV per atom.

The structure belongs to space group Pm-3m (No. 221); the cell edges are 5.260, 5.260 and 5.260 Å and the angles 90.00°, 90.00° and 90.00°. The inequivalent atoms are Al at (0.000, 0.000, 0.000), Pb at (0.000, 0.000, 0.500) and O at (0.500, 0.500, 0.500).



Record 4
VASP calculation (GGA-PBEsol) on a relaxed structure of AlSb3Pb4O13.

For the raw formation energy, the calculation gives -1579 meV per atom.

The structure belongs to space group R3m (No. 160, hexagonal axes); the cell edges are 7.4188, 7.4188 and 17.8340 Å and the angles 90.00°, 90.00° and 120.00°. The inequivalent atoms are Al at (0.0000, 0.0000, 0.0000), Sb at (0.0008, 0.5004, 0.5009), Pb at (0.0000, 0.0000, 0.4980), Pb at (0.0072, 0.5036, 0.0016), O at (0.0000, 0.0000, 0.6257), O at (0.0665, 0.5332, 0.8596), O at (0.0793, 0.5396, 0.6074), O at (0.2018, 0.4035, 0.4763) and O at (0.2045, 0.4090, 0.7269).